No. 1
Cs2CeS2F2 | PBE-GGA | relaxed

Output
Formation energy (no corrections) ... -2350 meV per atom
Total energy ... -5.155 eV/atom
Total magnetization ... 0.22 μB per cell

Cell lengths 5.4690, 5.4690, 14.8679 Å; angles 90.00, 90.00, 90.00 degrees
With the nearest neighbours (Å) after each atom.
Space group I4/mmm (No. 139)
Inequivalent atoms, fractional coordinates:
Cs (0.0000, 0.0000, 0.1519) x4  1 F 2.96
Ce (0.0000, 0.0000, 0.5000) x2  2 F 2.21
S (0.0000, 0.5000, 0.0000) x4  2 Ce 2.73
F (0.0000, 0.0000, 0.3512) x4  1 Ce 2.21


No. 2
Pr2YEr7 | PBE-GGA | relaxed

Output
Total energy ... -4.773 eV/atom
Total magnetization ... 0.00 μB per cell
ΔE to the lowest computed polymorph ... 0 meV/atom
ΔH_f (0 K) ... 0.023 eV/atom

Cell lengths 6.1562, 7.1033, 7.9563 Å; angles 77.10, 74.93, 73.35 degrees
With the nearest neighbours (Å) after each atom.
Space group P-1 (No. 2)
Inequivalent atoms, fractional coordinates:
Pr (0.2021, 0.2990, 0.1005) x2  10 Er 3.55-3.57, 1 Y 3.55, 1 Pr 3.59
Y (0.0000, 0.0000, 0.5000) x1  10 Er 3.54-3.56, 2 Pr 3.55
Er (0.0000, 0.5000, 0.5000) x1  8 Er 3.54-3.55, 2 Y 3.55, 2 Pr 3.56
Er (0.1993, 0.7998, 0.1006) x2  7 Er 3.55-3.58, 4 Pr 3.55-3.57, 1 Y 3.55
Er (0.3989, 0.1016, 0.6975) x2  8 Er 3.52-3.58, 2 Y 3.54-3.55, 2 Pr 3.57
Er (0.4012, 0.6000, 0.6975) x2  8 Er 3.52-3.58, 3 Pr 3.55-3.57, 1 Y 3.56


No. 3
In5Br | PBE-GGA | relaxed

Output
Formation energy (no corrections) ... -120 meV per atom
Total energy ... -2.681 eV/atom
Total magnetization ... 0.00 μB per cell
ΔE to the lowest computed polymorph ... 0 meV/atom

Cell lengths 11.7030, 3.6132, 8.3197 Å; angles 90.00, 100.86, 90.00 degrees
With the nearest neighbours (Å) after each atom.
Space group Cm (No. 8)
Inequivalent atoms, fractional coordinates:
In (0.0000, 0.0000, 0.0000) x2  8 In 3.17-3.38
In (0.0239, 0.5000, 0.3173) x2  1 Br 3.01, 4 In 3.17-3.18
In (0.0742, 0.0000, 0.6370) x2  8 In 3.18-3.43
In (0.2236, 0.5000, 0.9590) x2  1 Br 3.04, 3 In 3.19-3.25
In (0.3503, 0.0000, 0.6857) x2  7 In 3.18-3.45, 2 Br 3.43
Br (0.2827, 0.5000, 0.3307) x2  2 In 3.01-3.04